Record 1
VASP calculation (PBE) on an optimized crystal structure of Dy5Sc4Ga4.

DFT total energy = -5.064 eV per atom
total magnetization = 0.000 μB/cell

Cell lengths 11.745, 11.745, 4.598 Å; angles 90.00, 90.00, 90.00 degrees
Space group I4/m (No. 87)
Asymmetric unit:
Dy: 0.000 0.000 0.000 [2 per cell]
Dy: 0.116 0.195 0.500 [8 per cell]
Sc: 0.091 0.600 0.500 [8 per cell]
Ga: 0.080 0.754 0.000 [8 per cell]


Record 2
VASP calculation (PBE) on an optimized crystal structure of LaCrB3.

DFT total energy = -4.435 eV per atom
total magnetization = 4.298 μB/cell
ΔE to the lowest computed polymorph = 2412 meV/atom

Cell lengths 4.657, 4.657, 4.657 Å; angles 90.00, 90.00, 90.00 degrees
Space group Pm-3m (No. 221)
Asymmetric unit:
La: 0.000 0.000 0.000 [1 per cell]
Cr: 0.500 0.500 0.500 [1 per cell]
B: 0.000 0.000 0.500 [3 per cell]


What did the first record say?
VASP calculation (PBE) on an optimized crystal structure of Dy5Sc4Ga4.

DFT total energy = -5.064 eV per atom
total magnetization = 0.000 μB/cell

Cell lengths 11.745, 11.745, 4.598 Å; angles 90.00, 90.00, 90.00 degrees
Space group I4/m (No. 87)
Asymmetric unit:
Dy: 0.000 0.000 0.000 [2 per cell]
Dy: 0.116 0.195 0.500 [8 per cell]
Sc: 0.091 0.600 0.500 [8 per cell]
Ga: 0.080 0.754 0.000 [8 per cell]


> Look up the total magnetization of the second one.

4.298 μB/cell